# 1
MgAl2In after structural relaxation. Source: Alexandria, functional PBE.

Structure (POSCAR):
```
MgAl2In
1.0
-2.4881 3.7307 -2.4665
-4.5737 2.1330 -0.8512
0.0134 3.9095 3.8842
Al In Mg
2 1 1
Cartesian
0.0004 3.8707 3.8290 Al
-5.2406 7.3782 0.5315 Al
-3.5200 4.8836 0.2857 In
-1.7988 2.4367 0.0877 Mg
```

SG ... Cm (8)
Total magnetic moment ... 0.00 μB/f.u.
Raw total energy ... -2.88 eV/atom
Energy of formation ... 0.076 eV per atom
Theoretical density ... 3.93 g cm⁻³

---

# 2
Mg6AlIn after structural relaxation. Source: Alexandria, functional PBE.

Structure (POSCAR):
```
Mg6AlIn
1.0
4.4557 0.0000 0.0000
0.0000 4.4557 0.0000
0.0000 0.0000 8.8128
Mg Al In
6 1 1
Cartesian
2.2279 2.2279 0.0000 Mg
2.2279 2.2279 4.4064 Mg
2.2279 0.0000 2.2768 Mg
2.2279 0.0000 6.5360 Mg
0.0000 2.2279 2.2768 Mg
0.0000 2.2279 6.5360 Mg
0.0000 0.0000 4.4064 Al
0.0000 0.0000 0.0000 In
```

SG ... P4/mmm (123)
Total magnetic moment ... 0.00 μB/f.u.
Raw total energy ... -2.05 eV/atom
Energy of formation ... -0.041 eV per atom
Theoretical density ... 2.73 g cm⁻³

---

# 3
Mg16Al12In after structural relaxation. Source: Alexandria, functional PBE.

Structure (POSCAR):
```
Mg16Al12In
1.0
-8.6369 0.7096 2.9187
2.4352 -8.8118 -0.2014
5.5231 4.5595 5.6855
Mg Al In
16 12 1
Cartesian
-1.2612 -5.0599 0.7989 Mg
-4.4114 -2.3510 1.6866 Mg
-2.9747 0.2444 1.0053 Mg
0.8387 -3.0349 -0.0694 Mg
1.4685 0.0181 5.1559 Mg
-1.4399 1.1018 5.8359 Mg
2.9935 -2.7106 4.5866 Mg
-0.4449 -2.3226 5.5087 Mg
0.5903 2.9574 4.3286 Mg
4.0789 -0.0426 3.3455 Mg
0.4956 -4.1950 3.3011 Mg
-2.9930 -1.1950 4.2842 Mg
1.9023 1.5704 1.9582 Mg
-3.4384 1.8621 3.5414 Mg
3.2003 -3.8469 1.6706 Mg
-2.6763 -4.2521 3.4787 Mg
-3.4577 -6.7186 1.6739 Al
-5.4899 -4.9710 2.2465 Al
3.3506 2.2087 5.1497 Al
6.0243 -1.8404 4.4963 Al
-0.9468 4.1543 6.4608 Al
5.4576 -4.2946 3.4158 Al
-3.5457 3.4477 5.9530 Al
-0.7064 0.3343 3.1500 Al
1.3625 -1.4448 2.5670 Al
-5.5647 -0.2152 3.4077 Al
1.4064 -6.2100 1.4433 Al
-1.2834 -2.1642 2.0500 Al
0.0000 0.0000 0.0000 In
```

SG ... I-43m (217)
Total magnetic moment ... 0.00 μB/f.u.
Raw total energy ... -2.54 eV/atom
Energy of formation ... -0.021 eV per atom
Energy relative to the lowest polymorph listed for this composition ... 23.5 kJ/mol of formula units
Theoretical density ... 2.33 g cm⁻³

---

# 4
Mg2Al2In after structural relaxation. Source: Alexandria, functional PBE.

Structure (POSCAR):
```
Mg2Al2In
1.0
-4.0434 -0.2284 1.4367
1.3540 -2.1426 3.4701
-0.5713 4.2206 5.4896
Mg Al In
2 2 1
Cartesian
-2.9797 1.4034 4.6898 Mg
-0.2810 0.4463 5.7065 Mg
-1.1901 -0.1051 3.0602 Al
-2.0705 1.9547 7.3362 Al
0.0000 0.0000 0.0000 In
```

SG ... I4/mmm (139)
Total magnetic moment ... 0.00 μB/f.u.
Raw total energy ... -2.51 eV/atom
Energy of formation ... 0.172 eV per atom
Energy relative to the lowest polymorph listed for this composition ... 61.7 kJ/mol of formula units
Theoretical density ... 3.13 g cm⁻³

---

# 5
MgAl2In after structural relaxation. Source: Alexandria, functional PBE.

Structure (POSCAR):
```
MgAl2In
1.0
-2.4013 1.4202 1.0331
-1.4929 0.3323 -3.9270
-3.0807 -5.7093 0.6881
Al In Mg
2 1 1
Cartesian
-0.0653 -0.1210 0.0146 Al
-2.6242 -0.3786 -1.2957 Al
-1.5157 -2.8091 0.3386 In
-4.3100 -3.5028 -0.9192 Mg
```

SG ... Pmm2 (25)
Total magnetic moment ... 0.00 μB/f.u.
Raw total energy ... -2.89 eV/atom
Energy of formation ... 0.063 eV per atom
Theoretical density ... 3.92 g cm⁻³

---

# 6
MgAl2In after structural relaxation. Source: Alexandria, functional PBE.

Structure (POSCAR):
```
MgAl2In
1.0
4.9804 0.0000 0.0000
0.0000 3.0077 -0.0134
0.0000 0.4240 5.5983
Al In Mg
2 1 1
Cartesian
0.0000 0.6308 0.0053 Al
2.4902 0.7465 1.2989 Al
0.0000 1.1543 2.7990 In
2.4902 2.6160 4.2742 Mg
```

SG ... Pm (6)
Total magnetic moment ... 0.00 μB/f.u.
Raw total energy ... -2.85 eV/atom
Energy of formation ... 0.100 eV per atom
Theoretical density ... 3.82 g cm⁻³

---

# 7
Mg4AlIn2 after structural relaxation. Source: Alexandria, functional PBE.

Structure (POSCAR):
```
Mg4AlIn2
1.0
7.5765 0.0282 -0.0489
-2.4977 7.1530 0.0489
-2.5811 -3.5611 6.1695
Mg Al In
8 2 4
Cartesian
-2.3636 5.1666 2.2788 Mg
1.5692 3.4343 3.3340 Mg
3.9224 1.7700 4.3656 Mg
-0.7105 -1.3891 5.4698 Mg
2.8598 5.2557 0.2728 Mg
3.0778 -1.3342 5.4689 Mg
2.7120 -0.0264 1.2573 Mg
-1.0762 1.6037 2.2308 Mg
0.0000 0.0000 0.0000 Al
3.7883 2.7074 1.5302 Al
4.9725 -0.8234 3.1145 In
1.1842 0.3941 3.8498 In
-1.2259 3.5603 4.5852 In
0.0646 4.1092 0.7895 In
```

SG ... I-42d (122)
Total magnetic moment ... 0.00 μB/f.u.
Raw total energy ... -2.16 eV/atom
Energy of formation ... 0.069 eV per atom
Theoretical density ... 3.51 g cm⁻³

---

# 8
Mg5AlIn4 after structural relaxation. Source: Alexandria, functional PBE.

Structure (POSCAR):
```
Mg5AlIn4
1.0
3.5237 0.0000 0.0000
0.0000 3.5237 0.0000
0.0000 0.0000 18.4131
Mg Al In
5 1 4
Cartesian
1.7619 1.7619 1.6307 Mg
1.7619 1.7619 5.4010 Mg
1.7619 1.7619 9.2066 Mg
1.7619 1.7619 13.0122 Mg
1.7619 1.7619 16.7825 Mg
0.0000 0.0000 0.0000 Al
0.0000 0.0000 3.4992 In
0.0000 0.0000 7.2965 In
0.0000 0.0000 11.1166 In
0.0000 0.0000 14.9139 In
```

SG ... P4/mmm (123)
Total magnetic moment ... 0.00 μB/f.u.
Raw total energy ... -2.31 eV/atom
Energy of formation ... -0.045 eV per atom
Theoretical density ... 4.41 g cm⁻³

---

# 9
Mg3AlIn after structural relaxation. Source: Alexandria, functional PBE.

Structure (POSCAR):
```
Mg3AlIn
1.0
4.3827 0.0000 0.0000
0.0000 6.1672 0.0000
0.0000 0.0000 15.9116
Mg Al In
12 4 4
Cartesian
3.2870 2.2283 4.0463 Mg
1.0957 3.8957 15.1550 Mg
1.0957 0.6852 2.2854 Mg
1.0957 3.7688 5.6704 Mg
1.0957 0.8121 8.7125 Mg
3.2870 2.3985 10.2412 Mg
1.0957 0.8553 12.0021 Mg
3.2870 5.4821 13.6262 Mg
3.2870 2.2715 0.7566 Mg
3.2870 5.3119 3.9095 Mg
3.2870 5.3551 7.1992 Mg
1.0957 3.9389 11.8653 Mg
1.0957 3.7933 8.6860 Al
3.2870 2.3740 7.2256 Al
3.2870 5.4576 0.7302 Al
1.0957 0.7097 15.1814 Al
1.0957 0.6864 5.5791 In
3.2870 5.4808 10.3325 In
3.2870 2.3972 13.5349 In
1.0957 3.7701 2.3767 In
```

SG ... Pnma (62)
Total magnetic moment ... 0.00 μB/f.u.
Raw total energy ... -2.29 eV/atom
Energy of formation ... -0.033 eV per atom
Energy relative to the lowest polymorph listed for this composition ... 0.0 kJ/mol of formula units
Theoretical density ... 3.32 g cm⁻³

---

# 10
Mg7Al2In2 after structural relaxation. Source: Alexandria, functional PBE.

Structure (POSCAR):
```
Mg7Al2In2
1.0
5.9582 -0.0019 -1.2286
0.0033 7.9814 0.0037
-1.5974 -0.0021 5.8701
Mg Al In
7 2 2
Cartesian
5.1605 2.4052 1.7076 Mg
1.3840 5.5703 5.2584 Mg
-0.7964 5.5723 2.9376 Mg
2.9801 2.4071 -0.6131 Mg
0.0000 0.0000 0.0000 Mg
2.1831 6.4504 2.3238 Mg
2.1810 1.5270 2.3215 Mg
3.9192 -0.0019 0.6871 Al
0.4449 7.9794 3.9582 Al
3.3402 3.9877 3.5553 In
1.0239 3.9898 1.0900 In
```

SG ... Cmmm (65)
Total magnetic moment ... 0.00 μB/f.u.
Raw total energy ... -2.11 eV/atom
Energy of formation ... 0.081 eV per atom
Energy relative to the lowest polymorph listed for this composition ... 65.4 kJ/mol of formula units
Theoretical density ... 2.86 g cm⁻³

---

# 11
MgAl2In after structural relaxation. Source: Alexandria, functional PBE.

Structure (POSCAR):
```
MgAl2In
1.0
-3.5651 -1.8600 -3.6147
-4.3795 -2.1685 2.3136
2.6236 4.6890 0.6044
Al In Mg
2 1 1
Cartesian
0.0000 0.0000 0.0000 Al
-2.8641 0.2531 1.1338 Al
-3.9723 -2.0142 -0.6505 In
-2.4569 0.4074 -1.8304 Mg
```

SG ... I-4m2 (119)
Total magnetic moment ... 0.00 μB/f.u.
Raw total energy ... -2.89 eV/atom
Energy of formation ... 0.066 eV per atom
Theoretical density ... 3.97 g cm⁻³

---

# 12
MgAl2In after structural relaxation. Source: Alexandria, functional PBE.

Structure (POSCAR):
```
MgAl2In
1.0
-2.4589 -0.3291 -1.9927
-1.8079 -1.0406 2.4029
-2.2793 7.5681 1.5625
Mg Al In
1 2 1
Cartesian
-3.8947 5.1630 1.4125 Mg
-0.0392 0.1301 0.0269 Al
-2.6426 1.0056 0.5541 Al
-1.1094 3.6837 0.7605 In
```

SG ... P4mm (99)
Total magnetic moment ... 0.00 μB/f.u.
Raw total energy ... -2.90 eV/atom
Energy of formation ... 0.050 eV per atom
Theoretical density ... 3.93 g cm⁻³

---

> Which of these has the highest energy of formation?

Mg2Al2In